# KMgMn2F8 (PBE with a Hubbard U, optimized geometry)
# Electronic total energy   -5.4082 eV/atom
data_KMgMn2F8
_cell_length_a 5.4256
_cell_length_b 5.4256
_cell_length_c 7.1396
_cell_angle_alpha 90.00
_cell_angle_beta 90.00
_cell_angle_gamma 120.00
_space_group_name_H-M_alt 'P 1'
_space_group_IT_number 1
loop_
_space_group_symop_operation_xyz
'x,y,z'
loop_
_atom_site_label
_atom_site_type_symbol
_atom_site_fract_x
_atom_site_fract_y
_atom_site_fract_z
F1 F 0.0511 0.7089 0.3658
Mn1 Mn 0.6667 0.3333 0.3832
F2 F 0.3421 0.0511 0.6342
F3 F 0.2911 0.3421 0.3658
K1 K 0.0000 0.0000 0.0000
F4 F 0.9489 0.2911 0.6342
Mn2 Mn 0.3333 0.6667 0.6168
F5 F 0.6579 0.9489 0.3658
F6 F 0.7089 0.6579 0.6342
F7 F 0.3333 0.6667 0.8811
Mg1 Mg 0.0000 0.0000 0.5000
F8 F 0.6667 0.3333 0.1189